Record 1
PrHo4Tm10 | PBE-GGA | relaxed

Values from the calculation:
formation energy: 494 meV per atom

Lattice parameters (Å, degrees): 8.6947 8.6947 8.6947 112.16 112.16 104.21
Fractional coordinates of all 15 atoms:
Pr: 0.0000 0.0000 0.0000
Ho: 0.2073 0.5545 0.7617
Ho: 0.4455 0.2073 0.6528
Ho: 0.5545 0.7927 0.3472
Ho: 0.7927 0.4455 0.2383
Tm: 0.0474 0.9494 0.6587
Tm: 0.0506 0.7093 0.0980
Tm: 0.2500 0.7500 0.5000
Tm: 0.2907 0.3887 0.3413
Tm: 0.3887 0.0474 0.0980
Tm: 0.6113 0.9526 0.9020
Tm: 0.7093 0.6113 0.6587
Tm: 0.7500 0.2500 0.5000
Tm: 0.9494 0.2907 0.9020
Tm: 0.9526 0.0506 0.3413

=====

Record 2
GeBiPdO2 | PBE-GGA | relaxed

Values from the calculation:
uncorrected formation energy: -0.03 eV per formula unit

Lattice parameters (Å, degrees): 4.1959 4.1959 5.4784 90.00 90.00 90.00
Fractional coordinates of all 5 atoms:
Ge: 0.0000 0.0000 0.0000
Bi: 0.5000 0.5000 0.5000
Pd: 0.5000 0.5000 0.0000
O: 0.0000 0.5000 0.5000
O: 0.5000 0.0000 0.5000

=====

Record 3
NbZnCu2 | PBE-GGA | relaxed

Values from the calculation:
formation energy: -29 meV per atom

Lattice parameters (Å, degrees): 2.7566 2.7566 7.4257 90.00 90.00 90.00
Fractional coordinates of all 4 atoms:
Nb: 0.0000 0.0000 0.0000
Zn: 0.0000 0.0000 0.5000
Cu: 0.5000 0.5000 0.2697
Cu: 0.5000 0.5000 0.7303

=====

Record 4
YHo2Hf3N6 | PBE-GGA | relaxed

Values from the calculation:
uncorrected formation energy: -21.58 eV per formula unit

Lattice parameters (Å, degrees): 5.7185 5.7185 5.7957 99.49 99.49 119.95
Fractional coordinates of all 12 atoms:
Y: 0.0000 0.0000 0.0000
Ho: 0.3333 0.6667 0.0000
Ho: 0.6667 0.3333 0.0000
Hf: 0.1669 0.8331 0.5000
Hf: 0.5000 0.5000 0.5000
Hf: 0.8331 0.1669 0.5000
N: 0.0913 0.4263 0.2738
N: 0.2436 0.2436 0.7259
N: 0.4263 0.0913 0.2738
N: 0.5737 0.9087 0.7262
N: 0.7564 0.7564 0.2741
N: 0.9087 0.5737 0.7262

=====

Record 5
Pm3Ga2Pd3 | PBE-GGA | relaxed

Values from the calculation:
formation energy: -808 meV per atom

Lattice parameters (Å, degrees): 5.8537 5.8537 14.6242 90.00 90.00 135.47
Fractional coordinates of all 16 atoms:
Pm: 0.0825 0.9175 0.6047
Pm: 0.0825 0.9175 0.8953
Pm: 0.3676 0.6324 0.7500
Pm: 0.6324 0.3676 0.2500
Pm: 0.9175 0.0825 0.1047
Pm: 0.9175 0.0825 0.3953
Ga: 0.2128 0.7872 0.0954
Ga: 0.2128 0.7872 0.4046
Ga: 0.7872 0.2128 0.5954
Ga: 0.7872 0.2128 0.9046
Pd: 0.3380 0.6620 0.2500
Pd: 0.3829 0.6171 0.5425
Pd: 0.3829 0.6171 0.9575
Pd: 0.6171 0.3829 0.0425
Pd: 0.6171 0.3829 0.4575
Pd: 0.6620 0.3380 0.7500

=====

Record 6
Sm3CuN | PBE-GGA | relaxed

Values from the calculation:
uncorrected formation energy: -2.60 eV per formula unit

Lattice parameters (Å, degrees): 4.8793 4.8793 4.8793 90.00 90.00 90.00
Fractional coordinates of all 5 atoms:
Sm: 0.0000 0.0000 0.5000
Sm: 0.0000 0.5000 0.0000
Sm: 0.5000 0.0000 0.0000
Cu: 0.5000 0.5000 0.5000
N: 0.0000 0.0000 0.0000

=====

Record 7
Sr2CuTe | PBE-GGA | relaxed

Values from the calculation:
uncorrected formation energy: -0.56 eV per formula unit

Lattice parameters (Å, degrees): 5.5922 5.5922 5.5922 60.00 60.00 60.00
Fractional coordinates of all 4 atoms:
Sr: 0.0000 0.0000 0.0000
Sr: 0.2500 0.2500 0.2500
Cu: 0.5000 0.5000 0.5000
Te: 0.7500 0.7500 0.7500

=====

Record 8
La2Cu2Pd | PBE-GGA | relaxed

Values from the calculation:
formation energy: -218 meV per atom
excess energy over the best structure of this formula in the dataset: 0.2050 eV/atom

Lattice parameters (Å, degrees): 5.4658 5.4658 5.4658 118.12 118.12 93.29
Fractional coordinates of all 5 atoms:
La: 0.2500 0.7500 0.5000
La: 0.7500 0.2500 0.5000
Cu: 0.1512 0.1512 0.0000
Cu: 0.8488 0.8488 0.0000
Pd: 0.5000 0.5000 0.0000

=====

Record 9
LaNdHg3 | PBE-GGA | relaxed

Values from the calculation:
formation energy: -457 meV per atom

Lattice parameters (Å, degrees): 15.1406 15.1406 5.0723 90.00 90.00 166.22
Fractional coordinates of all 10 atoms:
La: 0.0748 0.9252 0.7500
La: 0.9252 0.0748 0.2500
Nd: 0.2097 0.7903 0.2500
Nd: 0.7903 0.2097 0.7500
Hg: 0.3212 0.6788 0.2500
Hg: 0.3791 0.6209 0.7500
Hg: 0.4763 0.5237 0.7500
Hg: 0.5237 0.4763 0.2500
Hg: 0.6209 0.3791 0.2500
Hg: 0.6788 0.3212 0.7500

=====

Record 10
Y3TmSn2C | PBE-GGA | relaxed

Values from the calculation:
formation energy: -712 meV per atom

Lattice parameters (Å, degrees): 8.6584 8.6584 8.6584 148.18 147.86 45.85
Fractional coordinates of all 7 atoms:
Y: 0.0000 0.0000 0.0000
Y: 0.3405 0.8405 0.5000
Y: 0.6595 0.1595 0.5000
Tm: 0.5000 0.5000 0.0000
Sn: 0.1399 0.6399 0.5000
Sn: 0.8601 0.3601 0.5000
C: 0.5000 0.0000 0.5000

=====

Record 11
Er6MgPd | PBE-GGA | relaxed

Values from the calculation:
formation energy: 89 meV per atom

Lattice parameters (Å, degrees): 7.0334 7.0429 7.0461 60.28 60.30 60.43
Fractional coordinates of all 8 atoms:
Er: 0.0263 0.2809 0.4362
Er: 0.2195 0.0639 0.9735
Er: 0.4379 0.5252 0.7802
Er: 0.5621 0.4748 0.2198
Er: 0.7805 0.9361 0.0265
Er: 0.9737 0.7191 0.5638
Mg: 0.5000 0.0000 0.5000
Pd: 0.0000 0.5000 0.0000

=====

Record 12
CsVTe | PBE-GGA | relaxed

Values from the calculation:
uncorrected formation energy: -0.93 eV per formula unit

Lattice parameters (Å, degrees): 4.0212 4.0212 13.4395 90.00 90.00 90.00
Fractional coordinates of all 6 atoms:
Cs: 0.2500 0.2500 0.1892
Cs: 0.7500 0.7500 0.8108
V: 0.2500 0.7500 0.5000
V: 0.7500 0.2500 0.5000
Te: 0.2500 0.2500 0.6341
Te: 0.7500 0.7500 0.3659

=====

Record 13
Tb6Dy4Y19 | PBE-GGA | relaxed

Values from the calculation:
formation energy: 378 meV per atom

Lattice parameters (Å, degrees): 10.7963 10.7963 10.7963 109.47 109.47 109.47
Fractional coordinates of all 29 atoms:
Tb: 0.1239 0.5000 0.6239
Tb: 0.3761 0.8761 0.5000
Tb: 0.5000 0.3761 0.8761
Tb: 0.5000 0.6239 0.1239
Tb: 0.6239 0.1239 0.5000
Tb: 0.8761 0.5000 0.3761
Dy: 0.0000 0.0000 0.3587
Dy: 0.0000 0.3587 0.0000
Dy: 0.3587 0.0000 0.0000
Dy: 0.6413 0.6413 0.6413
Y: 0.0000 0.0000 0.0000
Y: 0.0000 0.2592 0.2592
Y: 0.0000 0.7408 0.7408
Y: 0.0161 0.2181 0.6744
Y: 0.2020 0.9839 0.6583
Y: 0.2181 0.6744 0.0161
Y: 0.2592 0.0000 0.2592
Y: 0.2592 0.2592 0.0000
Y: 0.3256 0.5437 0.3417
Y: 0.3417 0.3256 0.5437
Y: 0.4563 0.7819 0.7980
Y: 0.5437 0.3417 0.3256
Y: 0.6583 0.2020 0.9839
Y: 0.6744 0.0161 0.2181
Y: 0.7408 0.0000 0.7408
Y: 0.7408 0.7408 0.0000
Y: 0.7819 0.7980 0.4563
Y: 0.7980 0.4563 0.7819
Y: 0.9839 0.6583 0.2020

=====

Record 14
YCo2Re | PBE-GGA | relaxed

Values from the calculation:
formation energy: 553 meV per atom
excess energy over the best structure of this formula in the dataset: 0.5848 eV/atom

Lattice parameters (Å, degrees): 4.4004 4.4004 4.4004 60.00 60.00 60.00
Fractional coordinates of all 4 atoms:
Y: 0.0000 0.0000 0.0000
Co: 0.2500 0.2500 0.2500
Co: 0.5000 0.5000 0.5000
Re: 0.7500 0.7500 0.7500

=====

Record 15
HfNbV | PBE-GGA | relaxed

Values from the calculation:
formation energy: 96 meV per atom
excess energy over the best structure of this formula in the dataset: 0.0546 eV/atom

Lattice parameters (Å, degrees): 4.4556 4.7900 5.3699 90.00 109.64 90.00
Fractional coordinates of all 6 atoms:
Hf: 0.0896 0.2500 0.1839
Hf: 0.9104 0.7500 0.8161
Nb: 0.4108 0.2500 0.8048
Nb: 0.5892 0.7500 0.1952
V: 0.2602 0.7500 0.4827
V: 0.7398 0.2500 0.5173

=====

Record 16
CrReOs2 | PBE-GGA | relaxed

Values from the calculation:
formation energy: 386 meV per atom
excess energy over the best structure of this formula in the dataset: 0.3119 eV/atom

Lattice parameters (Å, degrees): 4.5972 4.5972 4.5972 53.88 53.88 53.88
Fractional coordinates of all 4 atoms:
Cr: 0.0000 0.0000 0.0000
Re: 0.2159 0.2159 0.2159
Os: 0.4523 0.4523 0.4523
Os: 0.6723 0.6723 0.6723

=====

Record 17
Tb3Cd | PBE-GGA | relaxed

Values from the calculation:
formation energy: -92 meV per atom
excess energy over the best structure of this formula in the dataset: 0.0524 eV/atom

Lattice parameters (Å, degrees): 4.8586 4.8586 4.8586 90.00 90.00 90.00
Fractional coordinates of all 4 atoms:
Tb: 0.0000 0.0000 0.5000
Tb: 0.0000 0.5000 0.0000
Tb: 0.5000 0.0000 0.0000
Cd: 0.5000 0.5000 0.5000

=====

Record 18
Mg2AlH2 | PBE-GGA | relaxed

Values from the calculation:
excess energy over the best structure of this formula in the dataset: 0.3210 eV/atom

Lattice parameters (Å, degrees): 6.7344 6.7344 2.9032 90.00 90.00 90.00
Fractional coordinates of all 10 atoms:
Mg: 0.1539 0.3461 0.0000
Mg: 0.3461 0.8461 0.0000
Mg: 0.6539 0.1539 0.0000
Mg: 0.8461 0.6539 0.0000
Al: 0.0000 0.0000 0.5000
Al: 0.5000 0.5000 0.5000
H: 0.1159 0.6159 0.5000
H: 0.3841 0.1159 0.5000
H: 0.6159 0.8841 0.5000
H: 0.8841 0.3841 0.5000

=====

Record 19
Ni4PdRh | PBE-GGA | relaxed

Values from the calculation:
formation energy: 184 meV per atom
excess energy over the best structure of this formula in the dataset: 0.1071 eV/atom

Lattice parameters (Å, degrees): 8.6327 8.6327 7.0042 90.00 90.00 162.72
Fractional coordinates of all 12 atoms:
Ni: 0.0543 0.9457 0.5000
Ni: 0.3036 0.6964 0.5077
Ni: 0.3144 0.6856 0.8801
Ni: 0.4330 0.5670 0.3166
Ni: 0.5670 0.4330 0.8166
Ni: 0.6856 0.3144 0.3801
Ni: 0.6964 0.3036 0.0077
Ni: 0.9457 0.0543 0.0000
Pd: 0.4350 0.5650 0.6726
Pd: 0.5650 0.4350 0.1726
Rh: 0.1832 0.8168 0.6991
Rh: 0.8168 0.1832 0.1991

=====

Record 20
SrYI2N | PBE-GGA | relaxed

Values from the calculation:
excess energy over the best structure of this formula in the dataset: 0.8450 eV/atom
uncorrected formation energy: 0.41 eV per formula unit

Lattice parameters (Å, degrees): 6.2090 6.2090 4.3203 90.00 90.00 90.00
Fractional coordinates of all 5 atoms:
Sr: 0.0000 0.0000 0.0000
Y: 0.5000 0.5000 0.5000
I: 0.0000 0.5000 0.0000
I: 0.5000 0.0000 0.0000
N: 0.0000 0.0000 0.5000

=====

no.,magnetization (μB/f.u.),E (eV per cell)
1,0.00,-60.4
2,0.00,-23.6
3,0.00,-19.7
4,0.00,-117.0
5,0.00,-84.7
6,0.00,-29.2
7,0.00,-11.2
8,0.00,-24.3
9,0.19,-25.8
10,0.00,-46.1
11,0.00,-33.5
12,0.00,-28.1
13,0.00,-158.0
14,0.00,-30.9
15,0.00,-57.7
16,0.00,-43.0
17,0.56,-15.2
18,0.00,-24.3
19,4.19,-69.1
20,0.10,-19.2